# Li2AcH6

A geometry-optimized Li2AcH6 structure (PBE, Alexandria).

- final energy (eV per atom) = -3.268
- space-group type = P6/mmm, No. 191
- Fermi-level density of states (states/eV per cell) = 2.81

Cell lengths 4.6594, 4.6594, 4.7839 Å; angles 90.00, 90.00, 120.00 degrees
Closest atoms and distances in Å follow each position.
Positions (direct):
Li 0.3333 0.6667 0.0000  6 H 1.84
Li 0.6667 0.3333 0.0000  6 H 1.84
Ac 0.0000 0.0000 0.5000  12 H 2.59
H 0.0000 0.5000 0.2621  2 Li 1.84
H 0.0000 0.5000 0.7379  2 Li 1.84
H 0.5000 0.0000 0.2621  2 Li 1.84
H 0.5000 0.0000 0.7379  2 Li 1.84
H 0.5000 0.5000 0.2621  2 Li 1.84
H 0.5000 0.5000 0.7379  2 Li 1.84